No. 1
Here is a relaxed structure of BeTcPb2 from Alexandria. Energies are from PBE.

Energy of formation, eV/atom: 0.820
Magnetization, μB per atom: 0.00
Space group: P4/mmm

Geometry as POSCAR:
```
BeTcPb2
1.0
4.794 0.000 0.000
0.000 4.794 0.000
0.000 0.000 3.379
Be Tc Pb
1 1 2
Cartesian
0.000 0.000 0.000
2.397 2.397 0.000
0.000 2.397 1.689
2.397 0.000 1.689
```

***

No. 2
Here is a relaxed structure of BeTcPb2 from Alexandria. Energies are from PBE.

Energy of formation, eV/atom: 1.076
Magnetization, μB per atom: 0.27
Space group: F-43m

Geometry as POSCAR:
```
BeTcPb2
1.0
0.000 3.471 3.471
3.471 0.000 3.471
3.471 3.471 0.000
Be Tc Pb
1 1 2
Cartesian
0.000 0.000 0.000
1.735 1.735 1.735
3.471 3.471 3.471
5.206 5.206 5.206
```

***

No. 3
Here is a relaxed structure of BeTcPb2 from Alexandria. Energies are from PBE.

Energy of formation, eV/atom: 0.761
Magnetization, μB per atom: 0.00
Space group: P4/mmm

Geometry as POSCAR:
```
BeTcPb2
1.0
3.553 0.000 0.000
0.000 3.553 0.000
0.000 0.000 6.115
Be Tc Pb
1 1 2
Cartesian
0.000 0.000 0.000
0.000 0.000 3.057
1.776 1.776 1.511
1.776 1.776 4.604
```

***

No. 4
Here is a relaxed structure of BeTcPb2 from Alexandria. Energies are from PBE.

Energy of formation, eV/atom: 0.413
Magnetization, μB per atom: 0.00
Space group: Pm

Geometry as POSCAR:
```
BeTcPb2
1.0
3.714 0.000 0.000
0.000 4.114 0.000
-1.847 0.000 5.139
Be Tc Pb
1 1 2
Cartesian
0.000 0.000 0.000
1.864 2.057 3.959
0.009 0.000 2.983
1.857 2.057 0.973
```

***

No. 5
Here is a relaxed structure of BeTcPb2 from Alexandria. Energies are from PBE.

Energy of formation, eV/atom: 0.889
Magnetization, μB per atom: 0.00
Space group: Pmmm

Geometry as POSCAR:
```
BeTcPb2
1.0
3.573 0.000 0.000
0.000 4.223 0.000
0.000 0.000 5.340
Be Tc Pb
1 1 2
Cartesian
0.000 0.000 0.000
1.787 0.000 2.670
0.000 2.112 2.670
1.787 2.112 0.000
```

***

No. 6
Here is a relaxed structure of BeTcPb2 from Alexandria. Energies are from PBE.

Energy of formation, eV/atom: 0.475
Magnetization, μB per atom: 0.00
Space group: R3m

Geometry as POSCAR:
```
BeTcPb2
1.0
1.810 1.045 7.503
-1.810 1.045 7.503
0.000 -2.090 7.503
Be Tc Pb
1 1 2
Cartesian
0.000 0.000 0.000
0.000 0.000 6.586
0.000 0.000 12.082
0.000 0.000 16.544
```

***

What did we get for mass density? Answer: 11.15 10.35 11.22 11.03 10.74 10.16 g/cm3, in the order shown.